(i)
# GGA+U CoAg3F, relaxed
# - Fermi-level density of states (states/eV/atom) = 0.673
data_CoAg3F
_space_group_name_H-M_alt 'P m -3 m'
_space_group_IT_number 221
_space_group_name_Hall '-P 4 2 3'
_cell_length_a 4.845
_cell_length_b 4.845
_cell_length_c 4.845
_cell_angle_alpha 90.00
_cell_angle_beta 90.00
_cell_angle_gamma 90.00
loop_
_atom_site_label
_atom_site_type_symbol
_atom_site_fract_x
_atom_site_fract_y
_atom_site_fract_z
Co1 Co 0.000 0.000 0.000
Ag1 Ag 0.000 0.000 0.500
F1 F 0.500 0.500 0.500

(ii)
# GGA+U CoAg3F, relaxed
# - Fermi-level density of states (states/eV/atom) = 0.373
data_CoAg3F
_space_group_name_H-M_alt 'P m -3 m'
_space_group_IT_number 221
_space_group_name_Hall '-P 4 2 3'
_cell_length_a 4.575
_cell_length_b 4.575
_cell_length_c 4.575
_cell_angle_alpha 90.00
_cell_angle_beta 90.00
_cell_angle_gamma 90.00
loop_
_atom_site_label
_atom_site_type_symbol
_atom_site_fract_x
_atom_site_fract_y
_atom_site_fract_z
Co1 Co 0.000 0.000 0.000
Ag1 Ag 0.000 0.500 0.500
F1 F 0.500 0.500 0.500

Bottom line: (ii), by a margin of 375 meV per atom.

(i)
# GGA+U Co2AgF6, relaxed
# - Fermi-level density of states (states/eV/atom) = 0.755
data_Co2AgF6
_space_group_name_H-M_alt 'P 42/m n m'
_space_group_IT_number 136
_space_group_name_Hall '-P 4n 2n'
_cell_length_a 4.892
_cell_length_b 4.892
_cell_length_c 9.897
_cell_angle_alpha 90.00
_cell_angle_beta 90.00
_cell_angle_gamma 90.00
loop_
_atom_site_label
_atom_site_type_symbol
_atom_site_fract_x
_atom_site_fract_y
_atom_site_fract_z
Co1 Co 0.000 0.000 0.168
Ag1 Ag 0.000 0.000 0.500
F1 F 0.182 0.182 0.000
F2 F 0.214 0.214 0.313

(ii)
# GGA+U Co2AgF6, relaxed
# - Fermi-level density of states (states/eV/atom) = 0.555
data_Co2AgF6
_space_group_name_H-M_alt 'P -3 1 m'
_space_group_IT_number 162
_space_group_name_Hall '-P 3 2'
_cell_length_a 5.3510
_cell_length_b 5.3510
_cell_length_c 4.8692
_cell_angle_alpha 90.00
_cell_angle_beta 90.00
_cell_angle_gamma 120.00
loop_
_atom_site_label
_atom_site_type_symbol
_atom_site_fract_x
_atom_site_fract_y
_atom_site_fract_z
Co1 Co 0.3333 0.6667 0.0000
Ag1 Ag 0.0000 0.0000 0.5000
F1 F 0.0000 0.3641 0.2225

Bottom line: (ii), by a margin of 31 meV per atom.